! NaAgPtAu (PBE, optimized geometry); values from VASP
! - Energy of formation from the pure elements: -0.066 eV/atom
&SYSTEM
  ibrav = 0, nat = 4, ntyp = 4
/
ATOMIC_SPECIES
Na 22.99 Na.upf
Ag 107.87 Ag.upf
Pt 195.08 Pt.upf
Au 196.97 Au.upf
ATOMIC_POSITIONS angstrom
Na 0.000 0.000 0.000
Ag 1.648 1.648 1.648
Pt 3.296 3.296 3.296
Au 4.944 4.944 4.944
CELL_PARAMETERS angstrom
0.000 3.296 3.296
3.296 0.000 3.296
3.296 3.296 0.000